A geometry-optimized NaSi2Au2 structure, computed with PBE.

The structure in extended XYZ format:
```
5
Lattice="4.380 0.000 0.000 0.000 4.380 0.000 2.190 2.190 5.347" Properties=species:S:1:pos:R:3 pbc="T T T"
Au 2.190 2.190 1.432
Au 4.380 4.380 3.916
Na 0.000 0.000 0.000
Si 4.380 2.190 2.674
Si 2.190 4.380 2.674
```

Values from the calculation:
* total moment: 0.00 μB per cell
* uncorrected energy: -3.78 eV per atom
* ΔE to the lowest computed polymorph: 0.1218 eV/atom
* calculated density: 7.7 Mg/m³

A geometry-optimized Ca2MnGa3Cu12 structure, computed with PBE.

The structure in extended XYZ format:
```
18
Lattice="2.202 -9.730 -1.249 4.681 -6.655 -5.905 7.459 -6.725 -0.469" Properties=species:S:1:pos:R:3 pbc="T T T"
Ca 9.309 -15.000 -4.948
Ca 5.033 -8.110 -2.675
Cu 8.961 -12.338 -3.375
Cu 5.314 -5.501 -0.803
Cu 10.634 -17.649 -3.677
Cu 6.874 -13.531 -3.685
Cu 7.858 -12.311 -5.534
Cu 6.483 -10.799 -2.089
Cu 2.274 -7.239 -1.254
Cu 5.380 -10.772 -4.248
Cu 7.467 -9.579 -3.938
Cu 3.708 -5.461 -3.946
Cu 12.067 -15.871 -6.369
Cu 9.028 -17.608 -6.820
Ga 1.101 -4.865 -0.625
Ga 2.340 -3.328 -2.953
Ga 3.729 -3.362 -0.234
Mn 0.000 0.000 0.000
```

Values from the calculation:
* total moment: 4.10 μB per cell
* uncorrected energy: -3.82 eV per atom
* calculated density: 6.0 Mg/m³

A geometry-optimized LiPrPtAu structure, computed with PBE.

The structure in extended XYZ format:
```
4
Lattice="4.937 0.000 0.000 2.469 4.276 0.000 2.469 1.425 4.031" Properties=species:S:1:pos:R:3 pbc="T T T"
Pt 7.406 4.276 3.023
Pr 0.000 0.000 0.000
Au 2.469 1.425 1.008
Li 4.937 2.851 2.016
```

Values from the calculation:
* total moment: 0.00 μB per cell
* uncorrected energy: -4.70 eV per atom
* ΔE to the lowest computed polymorph: 0.0906 eV/atom
* calculated density: 10.5 Mg/m³

A geometry-optimized La3Al2CuPd9 structure, computed with PBE.

The structure in extended XYZ format:
```
15
Lattice="-4.813 -3.285 -4.415 6.563 1.955 -2.557 2.490 -6.035 1.776" Properties=species:S:1:pos:R:3 pbc="T T T"
Pd 2.008 -5.462 -4.178
Pd 2.233 -1.902 -1.018
Pd -1.230 -6.427 -2.916
Pd -2.406 -1.642 -2.207
Pd 0.875 -0.665 -3.486
Pd 3.096 -2.558 -4.458
Pd 5.471 -0.937 -2.280
Pd 3.282 0.978 -1.279
Pd 1.144 -4.806 -0.738
Cu 1.245 -3.017 0.888
La -0.175 -3.587 -3.193
La 4.416 -3.777 -2.003
La 0.000 0.000 0.000
Al 1.056 -6.571 -2.315
Al 3.185 -0.793 -2.882
```

Values from the calculation:
* total moment: 0.00 μB per cell
* uncorrected energy: -5.40 eV per atom
* calculated density: 7.9 Mg/m³

- Which value of calculated density does entry 2 give?
  6.0 Mg/m³